1.
Density functional theory data (PBE-GGA) for Sb3Pt12Rh after structural relaxation.

abc: 4.0051 4.0051 16.6480
angles: 90.00 90.00 90.00
Positions (direct):
Rh1 0.0000 0.0000 0.0000
Pt1 0.5000 0.0000 0.1190
Pt2 0.5000 0.0000 0.3772
Pt3 0.0000 0.5000 0.8810
Sb1 0.0000 0.0000 0.2326
Pt4 0.5000 0.5000 0.7427
Pt5 0.5000 0.5000 0.0000
Pt6 0.0000 0.5000 0.6228
Sb2 0.0000 0.0000 0.7674
Sb3 0.0000 0.0000 0.5000
Pt7 0.5000 0.0000 0.8810
Pt8 0.5000 0.5000 0.5000
Pt9 0.5000 0.5000 0.2573
Pt10 0.0000 0.5000 0.1190
Pt11 0.5000 0.0000 0.6228
Pt12 0.0000 0.5000 0.3772

Summary:
Total energy: -94.27 eV per formula unit
Total magnetic moment: 0.00 Bohr magnetons per cell

2.
Density functional theory data (PBE-GGA) for SbPtRh2 after structural relaxation.

abc: 2.9852 3.7595 5.7734
angles: 90.00 90.00 90.00
Positions (direct):
Rh1 0.0000 0.0000 0.7466
Pt1 0.5000 0.5000 0.5000
Rh2 0.0000 0.0000 0.2534
Sb1 0.5000 0.5000 0.0000

Summary:
Total energy: -25.24 eV per formula unit
Total magnetic moment: 0.00 Bohr magnetons per cell

3.
Density functional theory data (PBE-GGA) for SbPtRh2 after structural relaxation.

abc: 8.7919 8.7919 8.7919
angles: 19.72 19.72 19.72
Each line ends with the local moment (μB).
Positions (direct):
Rh1 0.9983 0.9983 0.9983  1.10
Sb1 0.5024 0.5024 0.5024  0.01
Rh2 0.2494 0.2494 0.2494  0.53
Pt1 0.7498 0.7498 0.7498  0.20

Summary:
Total energy: -24.12 eV per formula unit
Total magnetic moment: 1.82 Bohr magnetons per cell

4.
Density functional theory data (PBE-GGA) for Sb2PtRh after structural relaxation.

abc: 4.7658 4.7658 4.7658
angles: 60.00 60.00 60.00
Positions (direct):
Pt1 0.5000 0.5000 0.5000
Sb1 0.2500 0.2500 0.2500
Rh1 0.0000 0.0000 0.0000
Sb2 0.7500 0.7500 0.7500

Summary:
Total energy: -22.07 eV per formula unit
Excess energy over the best structure of this formula in the dataset: 0.2402 eV/atom
Total magnetic moment: 0.00 Bohr magnetons per cell